1.
Zr8Mn2Ir | PBE | relaxed

It has space group C2/m (No. 12), with a = 7.5818 Å, b = 12.1788 Å, c = 5.1547 Å, α = 90.00°, β = 108.91° and γ = 90.00°. Symmetry generates all atoms from Zr at (0.0000, 0.2248, 0.0000), Zr at (0.1264, 0.5000, 0.8190), Zr at (0.2079, 0.1252, 0.5851), Mn at (0.0000, 0.3036, 0.5000) and Ir at (0.0000, 0.0000, 0.0000).

The value obtained for the theoretical density is 7.61 g/cm³. As for the calculated formation energy: -0.06 eV per atom.

---

2.
FeNi2HW | PBE | relaxed

It has space group P4/mmm (No. 123), with a = 3.5446 Å, b = 3.5446 Å, c = 3.9923 Å, α = 90.00°, β = 90.00° and γ = 90.00°. Symmetry generates all atoms from Fe at (0.0000, 0.0000, 0.0000), Ni at (0.0000, 0.5000, 0.5000), H at (0.5000, 0.5000, 0.5000) and W at (0.5000, 0.5000, 0.0000).

The value obtained for the theoretical density is 11.85 g/cm³. The offset from the most stable computed form is 0.0185 eV per atom.

---

3.
LiTlFe2 | PBE | relaxed

It has space group P2/m (No. 10), with a = 2.8713 Å, b = 4.7145 Å, c = 4.5653 Å, α = 90.00°, β = 94.58° and γ = 90.00°. Symmetry generates all atoms from Li at (0.0000, 0.0000, 0.0000), Tl at (0.5000, 0.0000, 0.5000) and Fe at (0.2431, 0.5000, 0.7692).

The value obtained for the theoretical density is 8.71 g/cm³. As for the calculated formation energy: 0.41 eV per atom.

---

4.
TiTl3Sn | PBE | relaxed

It has space group Pm-3m (No. 221), with a = 5.7010 Å, b = 5.7010 Å, c = 5.7010 Å, α = 90.00°, β = 90.00° and γ = 90.00°. Symmetry generates all atoms from Ti at (0.0000, 0.0000, 0.0000), Tl at (0.0000, 0.5000, 0.5000) and Sn at (0.5000, 0.5000, 0.5000).

The value obtained for the theoretical density is 6.99 g/cm³. As for the calculated formation energy: 1.05 eV per atom. The offset from the most stable computed form is 0.5699 eV per atom.

---

Calculated DOS(E_F), 1.330, 0.634, 0.790, 2.614 states/eV per atom (same order as the records).
Calculated electronic total energy, -8.745, -7.172, -4.892, -2.749 eV per atom (same order as the records).